(1)
Below is an optimized crystal structure of ScCr2Ni, with properties calculated at the PBE-GGA level.

Cell and atoms, written as extended XYZ:
```
4
Lattice="3.496 0.000 0.000 0.000 3.496 0.000 0.000 0.000 4.467" Properties=species:S:1:pos:R:3 pbc="T T T"
Sc 0.000 0.000 0.000
Cr 0.000 1.748 2.233
Cr 1.748 0.000 2.233
Ni 1.748 1.748 0.000
```

Values from the calculation:
Size of the total moment (Bohr magnetons per cell): 0.0
Formation energy (meV/atom): 186.5
Symmetry: P4/mmm, No. 123
Energy above the lowest structure with this stoichiometry (meV per atom): 143
Crystal system: tetragonal


(2)
Below is an optimized crystal structure of LaRe2Pt, with properties calculated at the PBE-GGA level.

Cell and atoms, written as extended XYZ:
```
4
Lattice="3.097 0.000 0.000 0.000 3.097 0.000 0.000 0.000 7.892" Properties=species:S:1:pos:R:3 pbc="T T T"
La 0.000 0.000 0.000
Re 0.000 0.000 4.145
Re 1.548 1.548 5.525
Pt 1.548 1.548 2.326
```

Values from the calculation:
Size of the total moment (Bohr magnetons per cell): 0.0
Formation energy (meV/atom): -18.2
Symmetry: P4mm, No. 99
Energy above the lowest structure with this stoichiometry (meV per atom): 13
Crystal system: tetragonal


(3)
Below is an optimized crystal structure of PmEr4Mg4, with properties calculated at the PBE-GGA level.

Cell and atoms, written as extended XYZ:
```
18
Lattice="6.927 0.000 0.000 0.000 6.927 0.000 0.000 0.000 11.420" Properties=species:S:1:pos:R:3 pbc="T T T"
Pm 1.732 5.195 2.855
Pm 5.195 1.732 8.565
Er 0.175 1.732 2.052
Er 1.732 0.175 7.762
Er 1.732 3.288 7.762
Er 3.288 1.732 2.052
Er 3.638 5.195 9.369
Er 5.195 3.638 3.659
Er 5.195 6.751 3.659
Er 6.751 5.195 9.369
Mg 0.188 1.732 5.357
Mg 1.732 0.188 11.067
Mg 1.732 3.276 11.067
Mg 3.276 1.732 5.357
Mg 3.651 5.195 6.063
Mg 5.195 3.651 0.353
Mg 5.195 6.739 0.353
Mg 6.739 5.195 6.063
```

Values from the calculation:
Size of the total moment (Bohr magnetons per cell): 0.0
Formation energy (meV/atom): 239.5
Symmetry: P4_2/nmc, No. 137
Crystal system: tetragonal


(4)
Below is an optimized crystal structure of CdGa3Au, with properties calculated at the PBE-GGA level.

Cell and atoms, written as extended XYZ:
```
5
Lattice="5.059 0.000 0.000 0.000 5.059 0.000 0.000 0.000 5.059" Properties=species:S:1:pos:R:3 pbc="T T T"
Cd 0.000 0.000 0.000
Ga 0.000 2.529 2.529
Ga 2.529 0.000 2.529
Ga 2.529 2.529 0.000
Au 2.529 2.529 2.529
```

Values from the calculation:
Size of the total moment (Bohr magnetons per cell): 0.0
Formation energy (meV/atom): 161.0
Symmetry: Pm-3m, No. 221
Energy above the lowest structure with this stoichiometry (meV per atom): 133
Crystal system: cubic